1.
Ba4ThS6 | PBE | relaxed

a b c (Å): 8.8323 8.8323 8.8323
angles (deg): 90.30 90.30 89.70
Fractional coordinates of all 22 atoms:
Ba 0.3803 0.1197 0.2500
Ba 0.8803 0.2500 0.3803
Ba 0.2500 0.6197 0.1197
Ba 0.2500 0.2500 0.7500
Ba 0.7500 0.7500 0.2500
Ba 0.7500 0.3803 0.8803
Ba 0.1197 0.7500 0.6197
Ba 0.6197 0.8803 0.7500
Th 0.5000 0.5000 0.5000
Th 0.0000 0.0000 0.0000
S 0.7012 0.0608 0.0788
S 0.0788 0.2988 0.0608
S 0.5788 0.4392 0.2012
S 0.9392 0.0788 0.7012
S 0.5608 0.2012 0.5788
S 0.2012 0.4212 0.4392
S 0.7988 0.5788 0.5608
S 0.4392 0.7988 0.4212
S 0.0608 0.9212 0.2988
S 0.4212 0.5608 0.7988
S 0.9212 0.7012 0.9392
S 0.2988 0.9392 0.9212

Summary:
* size of the total moment: 0.000 Bohr magnetons per cell
* E_form (uncorrected): -2.06 eV/atom

=====

2.
Y4In | PBE | relaxed

a b c (Å): 5.7339 5.7339 5.7339
angles (deg): 90.00 90.00 90.00
Fractional coordinates of all 5 atoms:
Y 0.0000 0.0000 0.0000
Y 0.5000 0.0000 0.5000
Y 0.0000 0.5000 0.5000
Y 0.5000 0.5000 0.0000
In 0.5000 0.5000 0.5000

Summary:
* size of the total moment: 0.015 Bohr magnetons per cell

=====

3.
DyY3Ir3 | PBE | relaxed

a b c (Å): 5.9234 5.9504 5.9234
angles (deg): 109.56 109.38 109.56
Fractional coordinates of all 7 atoms:
Dy 0.0000 0.5031 0.0000
Y 0.4996 0.0035 0.0000
Y 0.5004 0.5039 0.5004
Y 0.0000 0.0035 0.4996
Ir 0.5001 0.5036 0.0000
Ir 0.4999 0.0036 0.4999
Ir 0.0000 0.5036 0.5001

Summary:
* size of the total moment: 0.000 Bohr magnetons per cell

=====

4.
FeRu2Cl | PBE | relaxed

a b c (Å): 2.8290 2.8290 8.5387
angles (deg): 90.00 90.00 120.01
Last column: magnetic moment on the atom in μB.
Fractional coordinates of all 4 atoms:
Ru 0.0000 0.0000 0.9932  0.63
Ru 0.5000 0.5000 0.2454  0.56
Fe 0.5000 0.5000 0.7428  2.94
Cl 0.0000 0.0000 0.5186  0.12

Summary:
* size of the total moment: 4.337 Bohr magnetons per cell
* E_form (uncorrected): 0.54 eV/atom

=====

5.
Ti8Ga3H2 | PBE | relaxed

a b c (Å): 5.4393 5.4393 8.1532
angles (deg): 70.51 70.51 60.00
Last column: magnetic moment on the atom in μB.
Fractional coordinates of all 13 atoms:
Ti 0.6849 0.6849 0.9454  -0.05
Ti 0.3151 0.3151 0.0546  -0.05
Ti 0.2307 0.7311 0.3071  0.26
Ti 0.7311 0.2307 0.3071  0.26
Ti 0.7311 0.7311 0.3071  0.26
Ti 0.2689 0.7693 0.6929  0.26
Ti 0.7693 0.2689 0.6929  0.26
Ti 0.2689 0.2689 0.6929  0.26
Ga 0.0000 0.0000 0.0000  0.00
Ga 0.7994 0.7994 0.6019  0.01
Ga 0.2006 0.2006 0.3981  0.01
H 0.6063 0.6063 0.1810  0.00
H 0.3937 0.3937 0.8190  0.00

Summary:
* size of the total moment: 1.819 Bohr magnetons per cell

=====

6.
MgCoTc2Cl | PBE | relaxed

a b c (Å): 4.4020 4.1055 4.4020
angles (deg): 90.00 90.00 90.00
Last column: magnetic moment on the atom in μB.
Fractional coordinates of all 5 atoms:
Mg 0.5000 0.5000 0.5000  -0.01
Co 0.0000 0.5000 0.0000  0.65
Tc 0.0000 0.0000 0.5000  0.69
Tc 0.5000 0.0000 0.0000  0.63
Cl 0.0000 0.0000 0.0000  0.01

Summary:
* size of the total moment: 1.984 Bohr magnetons per cell
* E_form (uncorrected): 0.83 eV/atom

=====

7.
Al2TeAs | PBE | relaxed

a b c (Å): 3.6964 3.6964 7.5257
angles (deg): 90.00 90.00 117.42
Fractional coordinates of all 4 atoms:
As 0.5000 0.5000 0.2500
Te 0.5000 0.5000 0.7500
Al 0.0000 0.0000 0.0242
Al 0.0000 0.0000 0.4758

Summary:
* size of the total moment: 0.000 Bohr magnetons per cell
* E_form (uncorrected): 0.11 eV/atom

=====

8.
ScIN2 | PBE | relaxed

a b c (Å): 6.6945 6.6945 6.6945
angles (deg): 29.31 29.31 29.31
Fractional coordinates of all 4 atoms:
I 0.0000 0.0000 0.0000
Sc 0.5000 0.5000 0.5000
N 0.8907 0.8907 0.8907
N 0.1093 0.1093 0.1093

Summary:
* size of the total moment: 0.000 Bohr magnetons per cell
* E_form (uncorrected): -0.01 eV/atom

=====

9.
TbSmGe2 | PBE | relaxed

a b c (Å): 3.2431 5.3853 5.3853
angles (deg): 90.00 90.00 90.00
Fractional coordinates of all 4 atoms:
Ge 0.0000 0.0000 0.5000
Ge 0.0000 0.5000 0.0000
Tb 0.5000 0.0000 0.0000
Sm 0.5000 0.5000 0.5000

Summary:
* size of the total moment: 0.005 Bohr magnetons per cell

=====

10.
CsNa2PCl | PBE | relaxed

a b c (Å): 5.4396 6.3310 5.4396
angles (deg): 90.00 90.00 90.00
Fractional coordinates of all 5 atoms:
Cs 0.0000 0.5000 0.0000
P 0.0000 0.0000 0.0000
Na 0.0000 0.0000 0.5000
Na 0.5000 0.0000 0.0000
Cl 0.5000 0.5000 0.5000

Summary:
* size of the total moment: 0.010 Bohr magnetons per cell
* E_form (uncorrected): -0.63 eV/atom

=====

11.
RbAcZnSe3 | PBE | relaxed

a b c (Å): 4.4227 9.7709 10.1728
angles (deg): 104.51 90.00 90.00
Fractional coordinates of all 12 atoms:
Rb 0.2500 0.1901 0.2248
Rb 0.7500 0.8099 0.7752
Ac 0.2500 0.6650 0.1566
Ac 0.7500 0.3350 0.8434
Zn 0.2500 0.0788 0.6053
Zn 0.7500 0.9212 0.3947
Se 0.7500 0.8884 0.1495
Se 0.2500 0.1116 0.8505
Se 0.2500 0.8223 0.4768
Se 0.7500 0.1777 0.5232
Se 0.7500 0.4451 0.1558
Se 0.2500 0.5549 0.8442

Summary:
* size of the total moment: 0.000 Bohr magnetons per cell
* E_form (uncorrected): -1.40 eV/atom

=====

12.
YBe5 | PBE | relaxed

a b c (Å): 6.3565 6.3565 3.5610
angles (deg): 90.00 90.00 147.41
Fractional coordinates of all 6 atoms:
Y 0.1277 0.8723 0.5000
Be 0.9161 0.0839 0.0000
Be 0.3153 0.6847 0.0000
Be 0.7322 0.2678 0.0000
Be 0.4204 0.5796 0.5000
Be 0.8216 0.1784 0.5000

Summary:
* size of the total moment: 0.000 Bohr magnetons per cell

=====

What are the total energy values for these records? In order: -62.55; -26.86; -55.54; -26.71; -82.26; -27.12; -14.85; -24.57; -21.05; -13.88; -25.23; -24.03 eV per formula unit.